No. 1
# Y2Te3, single point on PBEsol structure, DFT SCAN
data_Y2Te3
_cell_length_a 14.1992
_cell_length_b 13.5375
_cell_length_c 7.4198
_cell_angle_alpha 79.47
_cell_angle_beta 69.61
_cell_angle_gamma 30.91
_space_group_name_H-M_alt 'P 1'
_space_group_IT_number 1
_space_group_name_Hall 'P 1'
loop_
_atom_site_label
_atom_site_type_symbol
_atom_site_fract_x
_atom_site_fract_y
_atom_site_fract_z
Y1 Y 0.0423 0.0423 0.2077
Y2 Y 0.1249 0.1249 0.6251
Y3 Y 0.2077 0.2077 0.0423
Y4 Y 0.3749 0.3749 0.8751
Y5 Y 0.6251 0.6251 0.1249
Y6 Y 0.7923 0.7923 0.9577
Y7 Y 0.8751 0.8751 0.3749
Y8 Y 0.9577 0.9577 0.7923
Te1 Te 0.0415 0.5409 0.2120
Te2 Te 0.1312 0.6188 0.6188
Te3 Te 0.2120 0.7055 0.0415
Te4 Te 0.2945 0.7880 0.4591
Te5 Te 0.3812 0.8688 0.8688
Te6 Te 0.4591 0.9585 0.2945
Te7 Te 0.5409 0.0415 0.7055
Te8 Te 0.6188 0.1312 0.1312
Te9 Te 0.7055 0.2120 0.5409
Te10 Te 0.7880 0.2945 0.9585
Te11 Te 0.8688 0.3812 0.3812
Te12 Te 0.9585 0.4591 0.7880
# * crystal system: orthorhombic

=====

No. 2
# Y7Te2, single point on PBEsol structure, DFT SCAN
data_Y7Te2
_cell_length_a 22.7820
_cell_length_b 3.8876
_cell_length_c 11.9219
_cell_angle_alpha 90.00
_cell_angle_beta 90.00
_cell_angle_gamma 90.00
_space_group_name_H-M_alt 'P 1'
_space_group_IT_number 1
_space_group_name_Hall 'P 1'
loop_
_atom_site_label
_atom_site_type_symbol
_atom_site_fract_x
_atom_site_fract_y
_atom_site_fract_z
Y1 Y 0.0247 0.2500 0.1198
Y2 Y 0.0458 0.7500 0.3821
Y3 Y 0.0739 0.7500 0.6586
Y4 Y 0.1029 0.2500 0.8694
Y5 Y 0.1551 0.7500 0.0875
Y6 Y 0.1684 0.2500 0.5280
Y7 Y 0.2249 0.7500 0.7535
Y8 Y 0.2751 0.2500 0.2535
Y9 Y 0.3316 0.7500 0.0280
Y10 Y 0.3449 0.2500 0.5875
Y11 Y 0.3971 0.7500 0.3694
Y12 Y 0.4261 0.2500 0.1586
Y13 Y 0.4542 0.2500 0.8821
Y14 Y 0.4753 0.7500 0.6198
Y15 Y 0.5247 0.2500 0.3802
Y16 Y 0.5458 0.7500 0.1179
Y17 Y 0.5739 0.7500 0.8414
Y18 Y 0.6029 0.2500 0.6306
Y19 Y 0.6551 0.7500 0.4125
Y20 Y 0.6684 0.2500 0.9720
Y21 Y 0.7249 0.7500 0.7465
Y22 Y 0.7751 0.2500 0.2465
Y23 Y 0.8316 0.7500 0.4720
Y24 Y 0.8449 0.2500 0.9125
Y25 Y 0.8971 0.7500 0.1306
Y26 Y 0.9261 0.2500 0.3414
Y27 Y 0.9542 0.2500 0.6179
Y28 Y 0.9753 0.7500 0.8802
Te1 Te 0.1382 0.2500 0.2798
Te2 Te 0.2345 0.2500 0.9593
Te3 Te 0.2655 0.7500 0.4593
Te4 Te 0.3618 0.7500 0.7798
Te5 Te 0.6382 0.2500 0.2202
Te6 Te 0.7345 0.2500 0.5407
Te7 Te 0.7655 0.7500 0.0407
Te8 Te 0.8618 0.7500 0.7202
# * crystal system: orthorhombic

=====

No. 3
# YTe3, single point on PBEsol structure, DFT SCAN
data_YTe3
_cell_length_a 12.9294
_cell_length_b 12.9294
_cell_length_c 4.2744
_cell_angle_alpha 90.00
_cell_angle_beta 90.00
_cell_angle_gamma 160.97
_space_group_name_H-M_alt 'P 1'
_space_group_IT_number 1
_space_group_name_Hall 'P 1'
loop_
_atom_site_label
_atom_site_type_symbol
_atom_site_fract_x
_atom_site_fract_y
_atom_site_fract_z
Y1 Y 0.1699 0.8301 0.7500
Y2 Y 0.8301 0.1699 0.2500
Te1 Te 0.0729 0.9271 0.2500
Te2 Te 0.2937 0.7063 0.7500
Te3 Te 0.4271 0.5729 0.2500
Te4 Te 0.5729 0.4271 0.7500
Te5 Te 0.7063 0.2937 0.2500
Te6 Te 0.9271 0.0729 0.7500
# * crystal system: orthorhombic

=====

no.,ΔE_f (raw) (eV/atom),total moment (μB/f.u.)
1,-1.61,0.00
2,-0.63,0.41
3,-1.06,0.00